# 1
# Na3Tm2MnO6

Crystalline Na3Tm2MnO6 at its relaxed geometry (PBE with a Hubbard U, the Alexandria database).

Summary:
space group = C2/m, No. 12
M_tot = 4.000 μB per cell
total energy = -79.24 eV/f.u.

Cell lengths 5.687, 5.687, 5.820 Å; angles 98.85, 98.85, 120.75 degrees
Site moments in Bohr magnetons follow the coordinates.
Sites, in units of the cell vectors:
Na1 0.162 0.838 0.500  0.00
Na2 0.838 0.162 0.500  0.00
Na3 0.500 0.500 0.500  0.00
Tm1 0.330 0.670 0.000  0.01
Tm2 0.670 0.330 0.000  0.01
Mn1 0.000 0.000 0.000  3.93
O1 0.929 0.602 0.785  0.01
O2 0.762 0.762 0.192  -0.04
O3 0.071 0.398 0.215  0.01
O4 0.602 0.929 0.785  0.01
O5 0.238 0.238 0.808  -0.04
O6 0.398 0.071 0.215  0.01

# 2
# Na3TmMn2O6

Crystalline Na3TmMn2O6 at its relaxed geometry (PBE with a Hubbard U, the Alexandria database).

Summary:
space group = C2/m, No. 12
M_tot = 4.000 μB per cell
total energy = -75.01 eV/f.u.

Cell lengths 3.168, 6.482, 7.226 Å; angles 107.51, 102.66, 90.00 degrees
Site moments in Bohr magnetons follow the coordinates.
Sites, in units of the cell vectors:
Na1 0.500 0.500 0.000  0.00
Na2 0.830 0.172 0.660  0.00
Na3 0.170 0.828 0.340  0.00
Tm1 0.500 0.000 0.000  0.01
Mn1 0.829 0.660 0.658  2.06
Mn2 0.171 0.340 0.342  2.06
O1 0.336 0.874 0.672  -0.04
O2 0.683 0.553 0.365  -0.06
O3 0.664 0.126 0.328  -0.04
O4 0.019 0.248 0.038  0.00
O5 0.981 0.752 0.962  0.00
O6 0.317 0.447 0.635  -0.06

# 3
# Na4Tm3MnO8

Crystalline Na4Tm3MnO8 at its relaxed geometry (PBE with a Hubbard U, the Alexandria database).

Summary:
space group = C2/m, No. 12
M_tot = 3.995 μB per cell
total energy = -106.37 eV/f.u.

Cell lengths 6.518, 6.687, 6.652 Å; angles 119.02, 119.34, 90.00 degrees
Site moments in Bohr magnetons follow the coordinates.
Sites, in units of the cell vectors:
Na1 0.500 0.000 0.000  0.00
Na2 0.500 0.000 0.500  0.00
Na3 0.000 0.000 0.000  0.00
Na4 0.000 0.000 0.500  0.00
Tm1 0.500 0.500 0.000  0.01
Tm2 0.500 0.500 0.500  0.00
Tm3 0.000 0.500 0.500  0.00
Mn1 0.000 0.500 0.000  3.94
O1 0.213 0.695 0.972  -0.03
O2 0.257 0.732 0.514  0.03
O3 0.268 0.291 0.537  0.00
O4 0.759 0.695 0.972  -0.03
O5 0.241 0.305 0.028  -0.03
O6 0.732 0.709 0.463  0.00
O7 0.743 0.268 0.486  0.03
O8 0.787 0.305 0.028  -0.03

# 4
# Na3Mn2V3O12

Crystalline Na3Mn2V3O12 at its relaxed geometry (PBE with a Hubbard U, the Alexandria database).

Summary:
DOS(E_F) = 7.74 states/eV/f.u.
space group = Ia-3d, No. 230
M_tot = 32.000 μB per cell
total energy = -137.53 eV/f.u.

Cell lengths 10.867, 10.867, 10.867 Å; angles 109.47, 109.47, 109.47 degrees
Site moments in Bohr magnetons follow the coordinates.
Sites, in units of the cell vectors:
Na1 0.250 0.375 0.125  0.00
Na2 0.750 0.625 0.875  0.00
Na3 0.750 0.125 0.375  0.00
Na4 0.125 0.250 0.375  0.00
Na5 0.375 0.750 0.125  0.00
Na6 0.250 0.875 0.625  0.00
Na7 0.875 0.750 0.625  0.00
Na8 0.625 0.250 0.875  0.00
Na9 0.375 0.125 0.250  0.00
Na10 0.625 0.875 0.750  0.00
Na11 0.125 0.375 0.750  0.00
Na12 0.875 0.625 0.250  0.00
Mn1 0.000 0.000 0.000  3.99
Mn2 0.500 0.000 0.500  3.99
Mn3 0.000 0.500 0.500  3.99
Mn4 0.500 0.000 0.000  3.99
Mn5 0.500 0.500 0.000  3.99
Mn6 0.500 0.500 0.500  3.99
Mn7 0.000 0.000 0.500  3.99
Mn8 0.000 0.500 0.000  3.99
V1 0.250 0.625 0.375  0.21
V2 0.750 0.375 0.625  0.21
V3 0.750 0.875 0.125  0.21
V4 0.375 0.250 0.625  0.21
V5 0.625 0.750 0.375  0.21
V6 0.250 0.125 0.875  0.21
V7 0.125 0.750 0.875  0.21
V8 0.875 0.250 0.125  0.21
V9 0.625 0.375 0.250  0.21
V10 0.375 0.625 0.750  0.21
V11 0.875 0.125 0.750  0.21
V12 0.125 0.875 0.250  0.21
O1 0.492 0.389 0.302  -0.06
O2 0.508 0.611 0.698  -0.06
O3 0.587 0.190 0.198  -0.06
O4 0.913 0.111 0.603  -0.06
O5 0.302 0.492 0.389  -0.06
O6 0.310 0.913 0.302  -0.06
O7 0.413 0.810 0.802  -0.06
O8 0.087 0.889 0.397  -0.06
O9 0.698 0.508 0.611  -0.06
O10 0.690 0.087 0.698  -0.06
O11 0.008 0.310 0.897  -0.06
O12 0.198 0.587 0.190  -0.06
O13 0.111 0.008 0.198  -0.06
O14 0.992 0.690 0.103  -0.06
O15 0.802 0.413 0.810  -0.06
O16 0.889 0.992 0.802  -0.06
O17 0.603 0.913 0.111  -0.06
O18 0.190 0.492 0.603  -0.06
O19 0.397 0.087 0.889  -0.06
O20 0.810 0.508 0.397  -0.06
O21 0.897 0.008 0.310  -0.06
O22 0.389 0.587 0.897  -0.06
O23 0.103 0.992 0.690  -0.06
O24 0.611 0.413 0.103  -0.06
O25 0.389 0.302 0.492  -0.06
O26 0.587 0.897 0.389  -0.06
O27 0.611 0.698 0.508  -0.06
O28 0.413 0.103 0.611  -0.06
O29 0.111 0.603 0.913  -0.06
O30 0.008 0.198 0.111  -0.06
O31 0.889 0.397 0.087  -0.06
O32 0.992 0.802 0.889  -0.06
O33 0.310 0.897 0.008  -0.06
O34 0.913 0.302 0.310  -0.06
O35 0.690 0.103 0.992  -0.06
O36 0.087 0.698 0.690  -0.06
O37 0.190 0.198 0.587  -0.06
O38 0.492 0.603 0.190  -0.06
O39 0.810 0.802 0.413  -0.06
O40 0.508 0.397 0.810  -0.06
O41 0.302 0.310 0.913  -0.06
O42 0.698 0.690 0.087  -0.06
O43 0.198 0.111 0.008  -0.06
O44 0.802 0.889 0.992  -0.06
O45 0.897 0.389 0.587  -0.06
O46 0.103 0.611 0.413  -0.06
O47 0.603 0.190 0.492  -0.06
O48 0.397 0.810 0.508  -0.06

# 5
# NaMnVO4

Crystalline NaMnVO4 at its relaxed geometry (PBE with a Hubbard U, the Alexandria database).

Summary:
DOS(E_F) = 0.00 states/eV/f.u.
space group = P2_1/m, No. 11
M_tot = 10.000 μB per cell
total energy = -48.80 eV/f.u.
energy above the most stable polymorph in this dataset = 97 meV/atom

Cell lengths 5.590, 5.891, 6.406 Å; angles 90.00, 104.60, 90.00 degrees
Site moments in Bohr magnetons follow the coordinates.
Sites, in units of the cell vectors:
Na1 0.737 0.750 0.938  0.00
Na2 0.263 0.250 0.062  0.00
Mn1 0.830 0.750 0.468  4.62
Mn2 0.170 0.250 0.532  4.62
V1 0.293 0.750 0.340  0.05
V2 0.707 0.250 0.660  0.05
O1 0.918 0.482 0.702  0.02
O2 0.082 0.982 0.298  0.02
O3 0.082 0.518 0.298  0.02
O4 0.918 0.018 0.702  0.02
O5 0.514 0.750 0.191  0.02
O6 0.486 0.250 0.809  0.02
O7 0.458 0.750 0.602  0.04
O8 0.542 0.250 0.398  0.04

# 6
# Na2Mn2VO6

Crystalline Na2Mn2VO6 at its relaxed geometry (PBE with a Hubbard U, the Alexandria database).

Summary:
space group = C2/m, No. 12
M_tot = 9.000 μB per cell
total energy = -74.25 eV/f.u.

Cell lengths 5.149, 5.149, 5.921 Å; angles 101.00, 101.00, 115.11 degrees
Site moments in Bohr magnetons follow the coordinates.
Sites, in units of the cell vectors:
Na1 0.825 0.175 0.000  0.00
Na2 0.175 0.825 0.000  0.00
Mn1 0.333 0.667 0.500  3.89
Mn2 0.667 0.333 0.500  3.89
V1 0.000 0.000 0.500  1.10
O1 0.739 0.739 0.674  -0.04
O2 0.038 0.371 0.700  -0.01
O3 0.261 0.261 0.326  -0.04
O4 0.371 0.038 0.700  -0.01
O5 0.962 0.629 0.300  -0.01
O6 0.629 0.962 0.300  -0.01

# 7
# NaMn3V4O12

Crystalline NaMn3V4O12 at its relaxed geometry (PBE with a Hubbard U, the Alexandria database).

Summary:
DOS(E_F) = 0.96 states/eV/f.u.
space group = P-1, No. 2
M_tot = 18.000 μB per cell
total energy = -150.69 eV/f.u.

Cell lengths 6.479, 6.512, 6.483 Å; angles 70.89, 71.14, 110.58 degrees
Site moments in Bohr magnetons follow the coordinates.
Sites, in units of the cell vectors:
Na1 0.000 0.000 0.000  0.00
Mn1 0.500 0.000 0.500  4.06
Mn2 0.500 0.500 0.000  4.09
Mn3 0.000 0.500 0.500  4.49
V1 0.000 0.000 0.500  1.74
V2 0.000 0.500 0.000  1.18
V3 0.500 0.500 0.500  1.25
V4 0.500 0.000 0.000  1.23
O1 0.126 0.804 0.692  -0.07
O2 0.497 0.183 0.688  -0.05
O3 0.503 0.817 0.312  -0.05
O4 0.874 0.196 0.308  -0.07
O5 0.693 0.873 0.815  -0.06
O6 0.696 0.510 0.177  -0.06
O7 0.304 0.490 0.823  -0.06
O8 0.307 0.127 0.185  -0.06
O9 0.199 0.311 0.509  -0.06
O10 0.806 0.292 0.890  -0.05
O11 0.194 0.708 0.110  -0.05
O12 0.801 0.689 0.491  -0.06

# 8
# NaMnV2O

Crystalline NaMnV2O at its relaxed geometry (PBE with a Hubbard U, the Alexandria database).

Summary:
DOS(E_F) = 1.75 states/eV/f.u.
space group = P4/mmm, No. 123
M_tot = 3.823 μB per cell
total energy = -24.56 eV/f.u.

Cell lengths 5.491, 3.667, 5.491 Å; angles 90.00, 90.00, 90.00 degrees
Site moments in Bohr magnetons follow the coordinates.
Sites, in units of the cell vectors:
Na1 0.500 0.500 0.500  0.00
Mn1 0.000 0.000 0.000  -3.93
O1 0.000 0.500 0.000  0.13
V1 0.000 0.000 0.500  3.10
V2 0.500 0.000 0.000  3.19

# 9
# NaMnVO4

Crystalline NaMnVO4 at its relaxed geometry (PBE with a Hubbard U, the Alexandria database).

Summary:
DOS(E_F) = 0.00 states/eV/f.u.
space group = Pnma, No. 62
M_tot = 20.000 μB per cell
total energy = -49.48 eV/f.u.
energy above the most stable polymorph in this dataset = 0 meV/atom

Cell lengths 5.384, 6.953, 9.720 Å; angles 90.00, 90.00, 90.01 degrees
Site moments in Bohr magnetons follow the coordinates.
Sites, in units of the cell vectors:
Na1 0.014 0.250 0.351  0.00
Na2 0.486 0.250 0.851  0.00
Na3 0.986 0.750 0.649  0.00
Na4 0.514 0.750 0.149  0.00
Mn1 0.500 0.500 0.500  4.61
Mn2 0.000 0.500 0.000  4.61
Mn3 0.000 0.000 0.000  4.61
Mn4 0.500 0.000 0.500  4.61
V1 0.020 0.750 0.320  0.19
V2 0.480 0.750 0.820  0.19
V3 0.980 0.250 0.680  0.19
V4 0.520 0.250 0.180  0.19
O1 0.061 0.750 0.138  0.00
O2 0.439 0.750 0.638  0.00
O3 0.939 0.250 0.862  0.00
O4 0.561 0.250 0.362  0.00
O5 0.710 0.750 0.378  0.01
O6 0.790 0.750 0.878  0.01
O7 0.290 0.250 0.622  0.01
O8 0.210 0.250 0.122  0.01
O9 0.175 0.553 0.385  0.00
O10 0.325 0.947 0.885  0.00
O11 0.825 0.053 0.615  0.00
O12 0.675 0.447 0.115  0.00
O13 0.825 0.447 0.615  0.00
O14 0.675 0.053 0.115  0.00
O15 0.175 0.947 0.385  0.00
O16 0.325 0.553 0.885  0.00

# 10
# NaMn2WO

Crystalline NaMn2WO at its relaxed geometry (PBE with a Hubbard U, the Alexandria database).

Summary:
DOS(E_F) = 4.05 states/eV/f.u.
space group = P4/mmm, No. 123
M_tot = 3.917 μB per cell
total energy = -20.76 eV/f.u.

Cell lengths 5.277, 6.083, 5.277 Å; angles 90.00, 90.00, 90.00 degrees
Site moments in Bohr magnetons follow the coordinates.
Sites, in units of the cell vectors:
Na1 0.000 0.500 0.000  -0.03
Mn1 0.000 0.000 0.500  4.47
Mn2 0.500 0.000 0.000  4.50
O1 0.500 0.500 0.500  -0.87
W1 0.000 0.000 0.000  -3.46

# 11
# Na3Mn3WO8

Crystalline Na3Mn3WO8 at its relaxed geometry (PBE with a Hubbard U, the Alexandria database).

Summary:
DOS(E_F) = 4.18 states/eV/f.u.
space group = C2/m, No. 12
M_tot = 14.000 μB per cell
total energy = -99.94 eV/f.u.

Cell lengths 6.371, 6.372, 6.626 Å; angles 118.74, 90.00, 120.01 degrees
Site moments in Bohr magnetons follow the coordinates.
Sites, in units of the cell vectors:
Na1 0.000 0.000 0.000  0.00
Na2 0.000 0.500 0.000  0.00
Na3 0.500 0.500 0.000  0.00
Mn1 0.500 0.000 0.500  4.47
Mn2 0.500 0.500 0.500  4.45
Mn3 0.000 0.500 0.500  4.43
W1 0.000 0.000 0.500  0.13
O1 0.273 0.547 0.322  -0.07
O2 0.727 0.453 0.678  -0.07
O3 0.786 0.572 0.299  0.02
O4 0.214 0.428 0.701  0.02
O5 0.786 0.013 0.299  0.02
O6 0.214 0.987 0.701  0.02
O7 0.227 0.013 0.299  0.02
O8 0.773 0.987 0.701  0.02

# 12
# Na2MnWO4

Crystalline Na2MnWO4 at its relaxed geometry (PBE with a Hubbard U, the Alexandria database).

Summary:
DOS(E_F) = 0.00 states/eV/f.u.
space group = P2/m, No. 10
M_tot = 7.000 μB per cell
total energy = -51.48 eV/f.u.

Cell lengths 3.262, 5.567, 5.755 Å; angles 109.12, 90.00, 90.00 degrees
Site moments in Bohr magnetons follow the coordinates.
Sites, in units of the cell vectors:
Na1 0.500 0.000 0.500  0.00
Na2 0.000 0.500 0.500  0.00
Mn1 0.000 0.000 0.000  4.62
W1 0.500 0.500 0.000  1.91
O1 0.500 0.255 0.205  0.06
O2 0.500 0.745 0.795  0.06
O3 0.000 0.284 0.793  0.05
O4 0.000 0.716 0.207  0.05

Please write out number 12 again, unchanged.
# Na2MnWO4

Crystalline Na2MnWO4 at its relaxed geometry (PBE with a Hubbard U, the Alexandria database).

Summary:
DOS(E_F) = 0.00 states/eV/f.u.
space group = P2/m, No. 10
M_tot = 7.000 μB per cell
total energy = -51.48 eV/f.u.

Cell lengths 3.262, 5.567, 5.755 Å; angles 109.12, 90.00, 90.00 degrees
Site moments in Bohr magnetons follow the coordinates.
Sites, in units of the cell vectors:
Na1 0.500 0.000 0.500  0.00
Na2 0.000 0.500 0.500  0.00
Mn1 0.000 0.000 0.000  4.62
W1 0.500 0.500 0.000  1.91
O1 0.500 0.255 0.205  0.06
O2 0.500 0.745 0.795  0.06
O3 0.000 0.284 0.793  0.05
O4 0.000 0.716 0.207  0.05

Question: Among the records above, which one has the highest total energy?
Answer: NaMn2WO

Question: Which of these has the highest M_tot?
Answer: Na3Mn2V3O12